Record 1
PtS2O4 | PBE | relaxed

Summary:
Energy = -3.950 eV/atom
Volume = 79 Å³ per cell
Space group = P4/mmm (123)

abc: 3.8168 3.8168 5.3960
angles: 90.00 90.00 90.00
Closest atoms and distances in Å follow each position.
Atoms (fractional coordinates):
Pt 0.5000 0.5000 0.0000  8 O 2.30
S 0.5000 0.5000 0.5000  8 O 2.38
S 0.0000 0.0000 0.0000  8 O 2.30
O 0.0000 0.5000 0.2364  4 S 2.30-2.38, 2 Pt 2.30, 1 O 2.55
O 0.0000 0.5000 0.7636  4 S 2.30-2.38, 2 Pt 2.30, 1 O 2.55
O 0.5000 0.0000 0.2364  4 S 2.30-2.38, 2 Pt 2.30, 1 O 2.55
O 0.5000 0.0000 0.7636  4 S 2.30-2.38, 2 Pt 2.30, 1 O 2.55

Record 2
SrPtSO | PBE | relaxed

Summary:
Energy = -5.353 eV/atom
Volume = 616 Å³ per cell
Space group = Pbca (61)
ΔE to the lowest computed polymorph = 174 meV/atom

abc: 6.6914 13.8689 6.6398
angles: 90.00 90.00 90.00
Closest atoms and distances in Å follow each position.
Atoms (fractional coordinates):
S 0.9996 0.9912 0.2506  4 Pt 2.42-2.44
S 0.0004 0.0088 0.7494  4 Pt 2.42-2.44
O 0.7746 0.2238 0.5128  4 Sr 2.39-2.42
O 0.2746 0.2762 0.4872  4 Sr 2.39-2.42
Pt 0.2510 0.0415 0.4924  4 S 2.42-2.44
S 0.5004 0.0088 0.7506  4 Pt 2.42-2.44
O 0.2254 0.7238 0.9872  4 Sr 2.39-2.42
Sr 0.0242 0.2284 0.2491  4 O 2.39-2.42
Sr 0.4758 0.7284 0.2491  4 O 2.39-2.42
Sr 0.0242 0.2716 0.7491  4 O 2.39-2.42
O 0.2746 0.2238 0.9872  4 Sr 2.39-2.42
S 0.0004 0.4912 0.2494  4 Pt 2.42-2.44
S 0.4996 0.9912 0.2494  4 Pt 2.42-2.44
Pt 0.2490 0.9585 0.9924  4 S 2.42-2.44
S 0.5004 0.4912 0.2506  4 Pt 2.42-2.44
Sr 0.5242 0.2284 0.2509  4 O 2.39-2.42
O 0.7254 0.7238 0.5128  4 Sr 2.39-2.42
O 0.7254 0.7762 0.0128  4 Sr 2.39-2.42
Pt 0.7510 0.4585 0.5075  4 S 2.42-2.44
Pt 0.7510 0.0415 0.0076  4 S 2.42-2.44
Sr 0.9758 0.7716 0.7509  4 O 2.39-2.42
Sr 0.4758 0.7716 0.7491  4 O 2.39-2.42
Sr 0.9758 0.7284 0.2509  4 O 2.39-2.42
S 0.4996 0.5088 0.7494  4 Pt 2.42-2.44
O 0.7746 0.2762 0.0128  4 Sr 2.39-2.42
O 0.2254 0.7762 0.4872  4 Sr 2.39-2.42
S 0.9996 0.5088 0.7506  4 Pt 2.42-2.44
Sr 0.5242 0.2716 0.7509  4 O 2.39-2.42
Pt 0.7490 0.5415 0.0076  4 S 2.42-2.44
Pt 0.2510 0.4585 0.9924  4 S 2.42-2.44
Pt 0.7490 0.9585 0.5075  4 S 2.42-2.44
Pt 0.2490 0.5415 0.4924  4 S 2.42-2.44

Record 3
SrPtSO | PBE | relaxed

Summary:
Energy = -5.414 eV/atom
Volume = 623 Å³ per cell
Space group = Pbca (61)
ΔE to the lowest computed polymorph = 113 meV/atom

abc: 7.5876 9.3682 8.7598
angles: 90.00 90.00 90.00
Closest atoms and distances in Å follow each position.
Atoms (fractional coordinates):
Pt 0.5001 0.2834 0.2497  2 O 2.11, 2 S 2.33-2.35
Sr 0.2503 0.5505 0.4944  2 O 2.53-2.76
O 0.7502 0.2133 0.6453  2 Pt 2.11
Pt 0.0000 0.7166 0.7497  2 O 2.11, 2 S 2.33-2.35
Sr 0.7503 0.5505 0.0056  2 O 2.53-2.76
S 0.5022 0.9658 0.7505  2 Pt 2.33-2.35
S 0.0022 0.9658 0.7495  2 Pt 2.33-2.35
S 0.4978 0.0342 0.2495  2 Pt 2.33-2.35
O 0.2498 0.7133 0.8547  2 Pt 2.11
Pt 0.0000 0.2834 0.2503  2 O 2.11, 2 S 2.33-2.35
Sr 0.7497 0.0505 0.0056  2 O 2.53-2.76
O 0.7502 0.2867 0.1453  2 Pt 2.11
Sr 0.2503 0.9495 0.9944  2 O 2.53-2.76
O 0.2502 0.2867 0.3547  2 Pt 2.11
Pt 0.4999 0.7834 0.2503  2 O 2.11, 2 S 2.33-2.35
Sr 0.2497 0.0505 0.4944  2 O 2.53-2.76
O 0.7498 0.7133 0.6453  2 Pt 2.11
S 0.5022 0.5342 0.2505  2 Pt 2.33-2.35
Pt 0.5001 0.2166 0.7497  2 O 2.11, 2 S 2.33-2.35
Sr 0.7503 0.9495 0.5056  2 O 2.53-2.76
O 0.2502 0.2133 0.8547  2 Pt 2.11
Pt 0.0000 0.2166 0.7503  2 O 2.11, 2 S 2.33-2.35
S 0.0022 0.5342 0.2495  2 Pt 2.33-2.35
S 0.9978 0.0342 0.2505  2 Pt 2.33-2.35
S 0.9978 0.4658 0.7505  2 Pt 2.33-2.35
O 0.7498 0.7867 0.1453  2 Pt 2.11
Sr 0.7497 0.4495 0.5056  2 O 2.53-2.76
Sr 0.2497 0.4495 0.9944  2 O 2.53-2.76
Pt 0.0000 0.7834 0.2497  2 O 2.11, 2 S 2.33-2.35
O 0.2498 0.7867 0.3547  2 Pt 2.11
Pt 0.4999 0.7166 0.7503  2 O 2.11, 2 S 2.33-2.35
S 0.4978 0.4658 0.7495  2 Pt 2.33-2.35

Record 4
Sr2PtSO6 | PBE | relaxed

Summary:
Energy = -5.924 eV/atom
Volume = 137 Å³ per cell
Space group = C2/m (12)
ΔE to the lowest computed polymorph = 0 meV/atom

abc: 6.0657 6.0657 5.5431
angles: 117.07 117.07 51.31
Closest atoms and distances in Å follow each position.
Atoms (fractional coordinates):
O 0.2333 0.7686 0.2864  1 S 1.70
O 0.2314 0.7667 0.7136  1 S 1.70
O 0.1801 0.1801 0.6817  1 S 1.70
S 0.0000 0.0000 0.5000  6 O 1.70
O 0.7667 0.2314 0.7136  1 S 1.70
Sr 0.6916 0.6916 0.6927  6 O 2.58-2.63
O 0.7686 0.2333 0.2864  1 S 1.70
Pt 0.0000 0.0000 0.0000  4 O 2.00
O 0.8199 0.8199 0.3183  1 S 1.70
Sr 0.3084 0.3084 0.3073  6 O 2.58-2.63

Record 5
SrPtSO | PBE | relaxed

Summary:
Energy = -5.082 eV/atom
Volume = 155 Å³ per cell
Space group = P4/nmm (129)
ΔE to the lowest computed polymorph = 445 meV/atom

abc: 4.1808 4.1808 8.8874
angles: 90.00 90.00 90.00
Closest atoms and distances in Å follow each position.
Atoms (fractional coordinates):
Sr 0.7500 0.7500 0.1910  5 S 2.98-3.01
O 0.2500 0.7500 0.5000  4 Pt 2.18
Pt 0.7500 0.7500 0.5705  4 O 2.18
Sr 0.2500 0.2500 0.8090  5 S 2.98-3.01
S 0.2500 0.2500 0.1476  1 Pt 2.51
O 0.7500 0.2500 0.5000  4 Pt 2.18
Pt 0.2500 0.2500 0.4295  4 O 2.18
S 0.7500 0.7500 0.8524  1 Pt 2.51

Record 6
SrPtSO | PBE | relaxed

Summary:
Energy = -5.282 eV/atom
Volume = 321 Å³ per cell
Space group = Pca2_1 (29)
ΔE to the lowest computed polymorph = 245 meV/atom

abc: 7.9948 7.3313 5.4836
angles: 90.00 90.00 90.00
Closest atoms and distances in Å follow each position.
Atoms (fractional coordinates):
Sr 0.4130 0.7608 0.9963  2 O 2.55-2.61
O 0.6298 0.9516 0.2234  2 Pt 2.06
O 0.1298 0.0484 0.2234  2 Pt 2.06
O 0.3702 0.0484 0.7234  2 Pt 2.06
Pt 0.8126 0.8108 0.0380  2 O 2.06
S 0.9508 0.3672 0.4923  1 Pt 2.31
Sr 0.9130 0.2392 0.9963  2 O 2.55-2.61
Sr 0.5870 0.2392 0.4962  2 O 2.55-2.61
O 0.8702 0.9516 0.7234  2 Pt 2.06
S 0.5492 0.3672 0.9923  1 Pt 2.31
S 0.4508 0.6328 0.4923  1 Pt 2.31
S 0.0492 0.6328 0.9923  1 Pt 2.31
Sr 0.0870 0.7608 0.4962  2 O 2.55-2.61
Pt 0.3126 0.1892 0.0380  2 O 2.06
Pt 0.1874 0.1892 0.5380  2 O 2.06
Pt 0.6874 0.8108 0.5380  2 O 2.06

Which of these has the highest energy? PtS2O4